First-principles (PBE-GGA) data for a relaxed structure of Rh3W2, as listed in Alexandria via LeMat-Bulk.

a = 4.281 Å, b = 8.022 Å, c = 9.397 Å
α = 90.00°, β = 90.00°, γ = 90.00°
Atoms (fractional coordinates):
W: 0.750 0.211 0.231
W: 0.250 0.244 0.542
Rh: 0.750 0.961 0.656
Rh: 0.250 0.584 0.544
Rh: 0.750 0.893 0.213
Rh: 0.250 0.107 0.787
W: 0.250 0.789 0.769
W: 0.250 0.711 0.269
W: 0.750 0.756 0.458
W: 0.250 0.256 0.042
Rh: 0.750 0.539 0.156
Rh: 0.250 0.039 0.344
W: 0.750 0.289 0.731
W: 0.750 0.744 0.958
Rh: 0.250 0.916 0.044
Rh: 0.250 0.393 0.287
Rh: 0.750 0.084 0.956
Rh: 0.750 0.607 0.713
Rh: 0.750 0.416 0.456
Rh: 0.250 0.461 0.844

Values from the calculation:
Raw total energy: -9.45 eV per atom

***

First-principles (PBE-GGA) data for a relaxed structure of HfPIrC2, as listed in Alexandria via LeMat-Bulk.

a = 3.760 Å, b = 4.712 Å, c = 3.760 Å
α = 90.00°, β = 90.00°, γ = 90.00°
Atoms (fractional coordinates):
C: 0.000 0.000 0.500
C: 0.500 0.000 0.000
Ir: 0.000 0.500 0.000
Hf: 0.500 0.500 0.500
P: 0.000 0.000 0.000

Values from the calculation:
Raw total energy: -7.27 eV per atom